1.
## CsAg2F7 (PBE)

Data for crystalline CsAg2F7 at its relaxed geometry.

* total DFT energy (no corrections): -3.37 eV per atom
* space-group type: Cmmm, No. 65
* E_form (uncorrected): -1.401 eV per atom
* V: 17.3 Å³ per atom

```
CsAg2F7
1.0
3.238 -6.362 0.000
3.238 6.362 0.000
0.000 0.000 4.207
Cs Ag F
1 2 7
Direct
0.000 0.000 0.000
0.332 0.668 0.500
0.668 0.332 0.500
0.035 0.345 0.500
0.332 0.668 0.000
0.345 0.035 0.500
0.500 0.500 0.500
0.655 0.965 0.500
0.668 0.332 0.000
0.965 0.655 0.500
```

2.
## Li2CdAgAu5 (PBE)

Data for crystalline Li2CdAgAu5 at its relaxed geometry.

* total DFT energy (no corrections): -2.81 eV per atom
* E_form: -148 meV per atom
* space-group type: I4/mcm, No. 140
* V: 17.2 Å³ per atom

```
Li2CdAgAu5
1.0
-3.075 3.075 8.192
3.075 -3.075 8.192
3.075 3.075 -8.192
Li Cd Ag Au
4 2 2 10
Direct
0.119 0.619 0.738
0.381 0.119 0.500
0.619 0.881 0.500
0.881 0.381 0.262
0.250 0.250 0.000
0.750 0.750 0.000
0.250 0.750 0.500
0.750 0.250 0.500
0.000 0.000 0.000
0.089 0.163 0.500
0.163 0.663 0.074
0.337 0.411 0.500
0.411 0.911 0.074
0.500 0.500 0.000
0.589 0.089 0.926
0.663 0.589 0.500
0.837 0.337 0.926
0.911 0.837 0.500
```